Below is MnInTc2 after structural relaxation, with properties calculated at the PBE level.

Output
**Calculated formation energy**: 0.204 eV/atom

```
4
Lattice="2.957 0.000 0.000 0.000 2.958 0.000 0.000 0.000 7.020" Properties=species:S:1:pos:R:3 pbc="T T T"
In 1.479 1.479 1.755
Mn 1.479 1.479 5.265
Tc 0.000 0.000 6.742
Tc 0.000 0.000 3.787
```

---

Below is Mn2InTc after structural relaxation, with properties calculated at the PBE level.

Output
**Calculated formation energy**: 0.171 eV/atom

```
4
Lattice="3.153 0.000 0.000 0.000 3.151 0.000 0.000 0.000 6.253" Properties=species:S:1:pos:R:3 pbc="T T T"
In 1.576 1.575 4.689
Mn 0.000 0.000 0.186
Mn 0.000 0.000 2.940
Tc 1.576 1.575 1.563
```

---

Below is MnInTc2 after structural relaxation, with properties calculated at the PBE level.

Output
**Calculated formation energy**: 0.227 eV/atom

```
4
Lattice="-1.397 4.386 1.561 -3.622 3.239 0.141 -2.193 -0.889 4.153" Properties=species:S:1:pos:R:3 pbc="T T T"
In -5.408 5.052 4.391
Mn -1.803 1.684 1.464
Tc -4.998 7.454 1.808
Tc -3.626 3.540 2.821
```

---

Below is Mn2InTc after structural relaxation, with properties calculated at the PBE level.

Output
**Calculated formation energy**: 0.260 eV/atom

```
4
Lattice="5.185 0.032 -0.049 2.365 4.614 0.049 -3.238 -3.195 2.488" Properties=species:S:1:pos:R:3 pbc="T T T"
In 2.865 -0.418 1.219
Mn 0.123 0.075 0.000
Mn 1.479 1.888 1.269
Tc 3.621 2.228 0.000
```

---

Below is MnInTc2 after structural relaxation, with properties calculated at the PBE level.

Output
**Calculated formation energy**: 0.151 eV/atom

```
4
Lattice="2.900 0.497 0.000 -0.498 2.900 0.000 0.000 0.000 7.562" Properties=species:S:1:pos:R:3 pbc="T T T"
In 0.000 0.000 3.743
Mn 1.201 1.699 5.875
Tc 0.000 0.000 0.102
Tc 1.201 1.699 1.622
```

---

Below is MnIn4Tc after structural relaxation, with properties calculated at the PBE level.

Output
**Calculated formation energy**: 0.775 eV/atom

```
6
Lattice="-5.689 -0.153 0.039 -2.951 2.890 -3.916 -2.799 -2.797 -4.090" Properties=species:S:1:pos:R:3 pbc="T T T"
Mn -8.579 -0.045 -5.976
In -7.137 -0.099 -2.967
In -5.689 -1.423 -5.035
In -5.765 1.425 -4.947
In -4.287 -0.023 -2.986
Tc 0.000 0.000 0.000
```

---

Below is MnInTc2 after structural relaxation, with properties calculated at the PBE level.

Output
**Calculated formation energy**: 0.310 eV/atom

```
4
Lattice="-1.675 -2.793 -2.177 1.063 -2.693 2.638 -3.524 0.560 1.992" Properties=species:S:1:pos:R:3 pbc="T T T"
In -2.599 -1.116 -0.092
Mn -1.230 -1.066 2.315
Tc 0.000 0.000 0.000
Tc -0.306 -2.743 0.231
```

---

Below is Mn2InTc after structural relaxation, with properties calculated at the PBE level.

Output
**Calculated formation energy**: 0.284 eV/atom

```
4
Lattice="-1.193 3.883 1.867 -4.161 -1.542 0.550 0.773 -1.096 2.773" Properties=species:S:1:pos:R:3 pbc="T T T"
In -1.694 -1.319 1.661
Mn 0.000 0.000 0.000
Mn -2.677 1.171 1.209
Tc -0.210 1.394 2.320
```

---

Below is MnInTc3 after structural relaxation, with properties calculated at the PBE level.

Output
**Distance to the lowest polymorph of the same formula**: 0.00 eV/f.u.
**Calculated formation energy**: 1.011 eV/atom

```
5
Lattice="-3.199 -2.887 -1.120 3.085 -3.111 -0.791 -0.270 -1.344 4.236" Properties=species:S:1:pos:R:3 pbc="T T T"
Mn 0.000 0.000 0.000
Tc 1.542 -1.556 -0.395
Tc -0.135 -0.672 2.118
Tc -1.599 -1.444 -0.560
In -0.192 -3.671 1.163
```

---

Below is Mn2InTc after structural relaxation, with properties calculated at the PBE level.

Output
**Calculated formation energy**: 0.286 eV/atom

```
4
Lattice="4.614 0.042 0.000 -1.223 4.449 0.000 0.000 0.000 2.925" Properties=species:S:1:pos:R:3 pbc="T T T"
In -0.611 2.224 1.462
Mn 0.000 0.000 0.000
Mn 1.695 2.245 0.000
Tc 2.307 0.021 1.462
```

---

Below is Mn2InTc after structural relaxation, with properties calculated at the PBE level.

Output
**Calculated formation energy**: 0.369 eV/atom

```
4
Lattice="-0.713 0.980 8.752 -3.471 0.578 8.104 -1.751 -1.675 8.497" Properties=species:S:1:pos:R:3 pbc="T T T"
In -4.450 -0.088 19.007
Mn -5.886 -0.116 25.142
Mn -1.477 -0.029 6.307
Tc -3.026 -0.060 12.925
```

---

Below is MnInTc2 after structural relaxation, with properties calculated at the PBE level.

Output
**Calculated formation energy**: 0.293 eV/atom

```
4
Lattice="4.049 0.000 0.000 0.000 2.800 -0.041 0.000 2.064 5.509" Properties=species:S:1:pos:R:3 pbc="T T T"
In 2.025 1.216 1.367
Mn 2.025 3.648 4.101
Tc 0.000 4.621 5.286
Tc 0.000 2.676 2.915
```

---

Below is Mn2InTc after structural relaxation, with properties calculated at the PBE level.

Output
**Calculated formation energy**: 0.386 eV/atom

```
4
Lattice="2.856 0.000 0.000 0.000 4.891 0.019 0.000 3.281 4.521" Properties=species:S:1:pos:R:3 pbc="T T T"
In 0.000 1.640 2.261
Mn 0.000 0.000 0.000
Mn 1.428 2.446 0.009
Tc 1.428 4.086 2.270
```

---

Below is Mn2InTc after structural relaxation, with properties calculated at the PBE level.

Output
**Calculated formation energy**: 0.185 eV/atom

```
4
Lattice="-1.508 -2.693 -0.119 0.708 -0.264 -2.997 5.339 -3.057 1.530" Properties=species:S:1:pos:R:3 pbc="T T T"
In 3.631 -3.787 -0.403
Mn 0.194 -0.111 0.055
Mn 0.949 -2.251 -1.171
Tc 2.435 -1.394 0.698
```

---

Below is MnInTc2 after structural relaxation, with properties calculated at the PBE level.

Output
**Calculated formation energy**: 0.278 eV/atom

```
4
Lattice="-2.043 3.329 3.032 -4.814 -0.820 0.780 4.045 -2.834 0.243" Properties=species:S:1:pos:R:3 pbc="T T T"
In -2.098 -1.199 1.464
Mn -0.713 0.875 2.591
Tc 0.000 0.000 0.000
Tc -3.428 1.255 1.906
```

---

Below is MnInTc2 after structural relaxation, with properties calculated at the PBE level.

Output
**Calculated formation energy**: 0.296 eV/atom

```
4
Lattice="4.475 0.000 0.000 2.237 3.875 0.000 2.237 1.292 3.654" Properties=species:S:1:pos:R:3 pbc="T T T"
In 4.475 2.583 1.827
Mn 6.712 3.875 2.740
Tc 0.000 0.000 0.000
Tc 2.237 1.292 0.913
```

---

Below is Mn2InTc after structural relaxation, with properties calculated at the PBE level.

Output
**Calculated formation energy**: 0.664 eV/atom

```
8
Lattice="7.051 0.000 0.000 0.000 7.051 0.000 3.525 3.525 2.719" Properties=species:S:1:pos:R:3 pbc="T T T"
Mn 5.015 1.763 0.680
Mn 2.036 5.288 0.680
Mn 5.288 5.561 2.039
Mn 8.813 8.540 2.039
Tc 3.525 3.525 0.000
Tc 3.525 7.051 1.359
In 0.000 0.000 0.000
In 7.051 3.525 1.359
```

---

Below is Mn2InTc after structural relaxation, with properties calculated at the PBE level.

Output
**Calculated formation energy**: 0.279 eV/atom

```
4
Lattice="-2.066 -4.228 -0.220 1.818 -2.588 3.491 -1.902 4.309 0.087" Properties=species:S:1:pos:R:3 pbc="T T T"
In -2.046 -1.664 0.752
Mn 0.000 0.000 0.000
Mn -0.124 -3.408 1.636
Tc -0.104 -0.844 2.607
```

---

Below is UMnInTc after structural relaxation, with properties calculated at the PBE level.

Output
**Calculated formation energy**: 0.150 eV/atom

```
4
Lattice="4.664 0.000 0.000 2.332 4.039 0.000 2.332 1.346 3.808" Properties=species:S:1:pos:R:3 pbc="T T T"
Mn 4.664 2.693 1.904
U 2.332 1.346 0.952
Tc 0.000 0.000 0.000
In 6.996 4.039 2.856
```

---

Below is MnInTe3 after structural relaxation, with properties calculated at the PBE level.

Output
**Distance to the lowest polymorph of the same formula**: 2.49 eV/f.u.
**Uncorrected formation energy**: 331 meV/atom

```
5
Lattice="-0.009 4.880 -1.635 -2.041 1.498 4.481 4.725 0.656 1.933" Properties=species:S:1:pos:R:3 pbc="T T T"
Te -1.021 0.749 2.241
Te 2.363 0.328 0.966
Te -0.004 2.440 -0.818
Mn 0.000 0.000 0.000
In 1.338 3.517 2.389
```

---

Below is MnInTe after structural relaxation, with properties calculated at the PBE level.

Output
**Distance to the lowest polymorph of the same formula**: 0.28 eV/f.u.
**Uncorrected formation energy**: 169 meV/atom

```
3
Lattice="4.789 0.000 0.000 2.394 4.147 0.000 2.394 1.382 3.910" Properties=species:S:1:pos:R:3 pbc="T T T"
In 4.789 2.765 1.955
Mn 7.183 4.147 2.932
Te 0.000 0.000 0.000
```

---

Below is MnInTe2 after structural relaxation, with properties calculated at the PBE level.

Output
**Uncorrected formation energy**: 186 meV/atom

```
8
Lattice="6.641 0.000 0.000 0.000 6.641 0.000 3.321 3.321 5.751" Properties=species:S:1:pos:R:3 pbc="T T T"
Te 4.454 1.660 1.438
Te 2.187 4.981 1.438
Te 4.981 5.508 4.313
Te 8.302 7.775 4.313
Mn 3.321 3.321 0.000
Mn 3.321 6.641 2.875
In 0.000 0.000 0.000
In 6.641 3.321 2.875
```

---

Below is MnInTe2 after structural relaxation, with properties calculated at the PBE level.

Output
**Uncorrected formation energy**: 145 meV/atom

```
4
Lattice="-2.268 -0.128 -3.498 1.521 -7.446 -0.712 -3.292 -0.880 2.167" Properties=species:S:1:pos:R:3 pbc="T T T"
In -2.780 -0.504 -0.665
Mn -0.886 -4.163 0.727
Te 0.000 0.000 0.000
Te -0.374 -3.787 -2.105
```

---

Below is MnInTe3 after structural relaxation, with properties calculated at the PBE level.

Output
**Distance to the lowest polymorph of the same formula**: 0.00 eV/f.u.
**Uncorrected formation energy**: -168 meV/atom

```
10
Lattice="4.134 0.000 0.000 0.000 7.137 -1.138 0.000 -4.842 11.931" Properties=species:S:1:pos:R:3 pbc="T T T"
Mn 1.034 -0.017 1.899
Mn 3.101 2.313 8.894
In 1.034 -1.857 8.665
In 3.101 4.153 2.127
Te 1.034 -3.357 11.191
Te 3.101 5.652 -0.399
Te 1.034 -1.419 4.384
Te 3.101 3.715 6.409
Te 1.034 0.833 7.836
Te 3.101 1.463 2.957
```

---

Below is MnInTe2 after structural relaxation, with properties calculated at the PBE level.

Output
**Uncorrected formation energy**: 75 meV/atom

```
4
Lattice="3.606 0.000 0.000 0.000 3.606 0.000 0.000 0.000 7.976" Properties=species:S:1:pos:R:3 pbc="T T T"
In 1.803 1.803 1.994
Mn 1.803 1.803 5.982
Te 0.000 0.000 7.631
Te 0.000 0.000 4.333
```

---

Below is MnInTe2 after structural relaxation, with properties calculated at the PBE level.

Output
**Uncorrected formation energy**: 10 meV/atom

```
4
Lattice="5.881 -0.532 0.048 1.132 5.795 -0.048 -2.408 -4.095 3.507" Properties=species:S:1:pos:R:3 pbc="T T T"
In 3.490 -0.998 1.777
Mn 1.115 2.166 1.730
Te 0.355 0.266 0.000
Te 3.152 2.366 0.000
```

---

Below is MnInTe2 after structural relaxation, with properties calculated at the PBE level.

Output
**Uncorrected formation energy**: 140 meV/atom

```
4
Lattice="-7.823 1.933 1.740 -7.574 -1.811 -2.705 7.564 -2.287 2.349" Properties=species:S:1:pos:R:3 pbc="T T T"
In -7.699 0.061 -0.482
Mn -3.979 -0.146 1.803
Te 0.000 0.000 0.000
Te -3.854 -2.018 -0.419
```

---

Below is MnIn3Te after structural relaxation, with properties calculated at the PBE level.

Output
**Distance to the lowest polymorph of the same formula**: 3.38 eV/f.u.
**Uncorrected formation energy**: 906 meV/atom

```
5
Lattice="5.943 0.000 0.000 0.000 5.943 0.000 0.000 0.000 5.943" Properties=species:S:1:pos:R:3 pbc="T T T"
Te 0.000 0.000 0.000
Mn 2.971 2.971 2.971
In 0.000 2.971 0.000
In 0.000 0.000 2.971
In 2.971 0.000 0.000
```

---

Below is MnInTe2 after structural relaxation, with properties calculated at the PBE level.

Output
**Uncorrected formation energy**: -113 meV/atom

```
4
Lattice="4.137 0.000 0.000 0.000 4.142 0.000 0.000 0.000 6.885" Properties=species:S:1:pos:R:3 pbc="T T T"
In 0.000 0.000 2.895
Mn 2.068 2.071 6.298
Te 0.000 0.000 5.854
Te 2.068 2.071 2.167
```

---

Below is MnInTe2 after structural relaxation, with properties calculated at the PBE level.

Output
**Uncorrected formation energy**: 397 meV/atom

```
4
Lattice="-1.050 4.877 1.777 0.835 1.201 5.090 3.968 3.241 1.339" Properties=species:S:1:pos:R:3 pbc="T T T"
In 1.877 4.659 4.103
Mn 2.815 6.989 6.154
Te 0.000 0.000 0.000
Te 0.938 2.330 2.051
```

---

| no. | spin magnetization (μB/f.u.) |
| --- | --- |
| 1 | 1.3 |
| 2 | 6.1 |
| 3 | 1.4 |
| 4 | 4.5 |
| 5 | 3.6 |
| 6 | 5.9 |
| 7 | 2.0 |
| 8 | 6.1 |
| 9 | 0.6 |
| 10 | 5.0 |
| 11 | 4.5 |
| 12 | 1.6 |
| 13 | 6.7 |
| 14 | 4.8 |
| 15 | 1.3 |
| 16 | 4.0 |
| 17 | 5.2 |
| 18 | 5.0 |
| 19 | 0.8 |
| 20 | 0.0 |
| 21 | 4.0 |
| 22 | 0.0 |
| 23 | 4.9 |
| 24 | 3.9 |
| 25 | 4.1 |
| 26 | 4.1 |
| 27 | 5.0 |
| 28 | 4.5 |
| 29 | 4.7 |
| 30 | 4.4 |